Record 1
First-principles (GGA-PBE) data for crystalline Al2AsP at its relaxed geometry, as listed in Alexandria.

M_tot, μB/atom: 0.00
Energy, eV/cell: -17.13
D(E_F), states/eV/f.u.: 1.69
ρ, g cm⁻³: 3.69
DFT formation energy, eV/atom: 0.10

Lattice parameters (Å, degrees): 4.8709 4.8709 4.8709 136.66 109.07 86.91
With the nearest neighbours (Å) after each atom.
Atoms (fractional coordinates):
Al  0.2370  0.2370  0.0000  2 P 2.46, 2 As 2.59
Al  0.7630  0.7630  0.0000  2 P 2.46, 2 As 2.59
As  0.5000  0.0000  0.5000  4 Al 2.59
P  0.0000  0.5000  0.5000  4 Al 2.46

Record 2
First-principles (GGA-PBE) data for crystalline Pm4TlAu at its relaxed geometry, as listed in Alexandria.

M_tot, μB/atom: 0.00
Energy, eV/cell: -53.37
D(E_F), states/eV/f.u.: 8.06
ρ, g cm⁻³: 8.84
DFT formation energy, eV/atom: -0.34

Lattice parameters (Å, degrees): 7.9908 7.9908 6.5711 99.85 99.85 112.48
With the nearest neighbours (Å) after each atom.
Atoms (fractional coordinates):
Pm  0.0763  0.7129  0.9462  2 Au 3.04-3.07, 1 Tl 3.26, 1 Pm 3.39
Pm  0.2107  0.3821  0.5982  2 Au 3.15-3.27, 2 Tl 3.26-3.36
Pm  0.2871  0.9237  0.5538  2 Au 3.04-3.07, 1 Tl 3.26, 1 Pm 3.39
Pm  0.3821  0.2107  0.0982  2 Au 3.15-3.27, 2 Tl 3.26-3.36
Pm  0.6179  0.7893  0.9018  2 Au 3.15-3.27, 2 Tl 3.26-3.36
Pm  0.7129  0.0763  0.4462  2 Au 3.04-3.07, 1 Tl 3.26, 1 Pm 3.39
Pm  0.7893  0.6179  0.4018  2 Au 3.15-3.27, 2 Tl 3.26-3.36
Pm  0.9237  0.2871  0.0538  2 Au 3.04-3.07, 1 Tl 3.26, 1 Pm 3.39
Tl  0.3798  0.6202  0.2500  8 Pm 3.26-3.44
Tl  0.6202  0.3798  0.7500  8 Pm 3.26-3.44
Au  0.0047  0.9953  0.2500  8 Pm 3.04-3.27, 2 Au 3.29
Au  0.9953  0.0047  0.7500  8 Pm 3.04-3.27, 2 Au 3.29

Record 3
First-principles (GGA-PBE) data for crystalline Mg3IrBr at its relaxed geometry, as listed in Alexandria.

Formation energy from raw total energies, eV per atom: -0.131
M_tot, μB/atom: 0.00
Energy, eV/cell: -15.97
D(E_F), states/eV/f.u.: 2.04
ρ, g cm⁻³: 4.44

Lattice parameters (Å, degrees): 5.0547 5.0547 5.0547 90.00 90.00 90.00
With the nearest neighbours (Å) after each atom.
Atoms (fractional coordinates):
Mg  0.0000  0.0000  0.5000  2 Ir 2.53
Mg  0.0000  0.5000  0.0000  2 Ir 2.53
Mg  0.5000  0.0000  0.0000  2 Ir 2.53
Ir  0.0000  0.0000  0.0000  6 Mg 2.53
Br  0.5000  0.5000  0.5000  12 Mg 3.57

Record 4
First-principles (GGA-PBE) data for crystalline CaBH3 at its relaxed geometry, as listed in Alexandria.

M_tot, μB/atom: 0.00
Energy, eV/cell: -17.82
D(E_F), states/eV/f.u.: 1.08
ρ, g cm⁻³: 2.39

Lattice parameters (Å, degrees): 3.3472 3.3472 3.3472 90.00 90.00 90.00
With the nearest neighbours (Å) after each atom.
Atoms (fractional coordinates):
Ca  0.0000  0.0000  0.0000  12 H 2.37
B  0.5000  0.5000  0.5000  6 H 1.67
H  0.0000  0.5000  0.5000  2 B 1.67
H  0.5000  0.0000  0.5000  2 B 1.67
H  0.5000  0.5000  0.0000  2 B 1.67

Record 5
First-principles (GGA-PBE) data for crystalline Nd2Y3S8 at its relaxed geometry, as listed in Alexandria.

Formation energy from raw total energies, eV per atom: -1.892
M_tot, μB/atom: 0.00
Energy, eV/cell: -86.54
D(E_F), states/eV/f.u.: 7.04
ρ, g cm⁻³: 3.79

Lattice parameters (Å, degrees): 8.0293 8.0293 6.7688 107.29 107.29 60.22
With the nearest neighbours (Å) after each atom.
Atoms (fractional coordinates):
Nd  0.2349  0.2349  0.1572  6 S 2.80-2.89
Nd  0.7651  0.7651  0.8428  6 S 2.80-2.89
Y  0.2378  0.7622  0.5000  6 S 2.70-2.78
Y  0.5000  0.5000  0.0000  6 S 2.71-2.77
Y  0.7622  0.2378  0.5000  6 S 2.70-2.78
S  0.1202  0.1202  0.4269  2 Y 2.70, 1 Nd 2.80
S  0.1476  0.6100  0.0883  2 Y 2.71-2.73, 2 Nd 2.85-2.89
S  0.3865  0.3865  0.5745  3 Y 2.77-2.78, 1 Nd 2.89
S  0.3900  0.8524  0.9117  2 Y 2.71-2.73, 2 Nd 2.85-2.89
S  0.6100  0.1476  0.0883  2 Y 2.71-2.73, 2 Nd 2.85-2.89
S  0.6135  0.6135  0.4255  3 Y 2.77-2.78, 1 Nd 2.89
S  0.8524  0.3900  0.9117  2 Y 2.71-2.73, 2 Nd 2.85-2.89
S  0.8798  0.8798  0.5731  2 Y 2.70, 1 Nd 2.80

Record 6
First-principles (GGA-PBE) data for crystalline GaHPd3 at its relaxed geometry, as listed in Alexandria.

M_tot, μB/atom: 0.00
Energy, eV/cell: -95.47
D(E_F), states/eV/f.u.: 1.42
ρ, g cm⁻³: 9.90

Lattice parameters (Å, degrees): 6.9345 6.9345 5.7764 101.73 101.73 77.28
With the nearest neighbours (Å) after each atom.
Atoms (fractional coordinates):
Ga  0.0039  0.9961  0.7500  8 Pd 2.55-2.60
Ga  0.3497  0.6503  0.2500  8 Pd 2.54-2.61
Ga  0.6503  0.3497  0.7500  8 Pd 2.54-2.61
Ga  0.9961  0.0039  0.2500  8 Pd 2.55-2.60
H  0.1878  0.4777  0.6703  3 Pd 1.91-1.96
H  0.4777  0.1878  0.1703  3 Pd 1.91-1.96
H  0.5223  0.8122  0.8297  3 Pd 1.91-1.96
H  0.8122  0.5223  0.3297  3 Pd 1.91-1.96
Pd  0.0249  0.6819  0.4283  2 H 1.96-2.17
Pd  0.0270  0.6830  0.9286  1 H 2.15
Pd  0.3170  0.9730  0.5714  1 H 2.15
Pd  0.3181  0.9751  0.0717  2 H 1.96-2.17
Pd  0.3429  0.3440  0.9239  2 H 1.91-1.93
Pd  0.3440  0.3429  0.4239  2 H 1.91-1.93
Pd  0.6560  0.6571  0.5761  2 H 1.91-1.93
Pd  0.6571  0.6560  0.0761  2 H 1.91-1.93
Pd  0.6819  0.0249  0.9283  2 H 1.96-2.17
Pd  0.6830  0.0270  0.4286  1 H 2.15
Pd  0.9730  0.3170  0.0714  1 H 2.15
Pd  0.9751  0.3181  0.5717  2 H 1.96-2.17

Record 7
First-principles (GGA-PBE) data for crystalline Er5Tl4Pt2 at its relaxed geometry, as listed in Alexandria.

M_tot, μB/atom: 0.00
Energy, eV/cell: -104.22
D(E_F), states/eV/f.u.: 5.74
ρ, g cm⁻³: 12.53
DFT formation energy, eV/atom: -0.70

Lattice parameters (Å, degrees): 8.1509 18.2784 3.6377 90.00 90.00 90.00
With the nearest neighbours (Å) after each atom.
Atoms (fractional coordinates):
Er  0.0000  0.0000  0.0000  8 Tl 3.21-3.29, 2 Er 3.55
Er  0.1117  0.4124  0.0000  2 Pt 2.80
Er  0.2455  0.2193  0.0000  4 Pt 2.95-2.96
Er  0.2545  0.7193  0.0000  4 Pt 2.95-2.96
Er  0.3883  0.9124  0.0000  2 Pt 2.80
Er  0.5000  0.5000  0.0000  8 Tl 3.21-3.29, 2 Er 3.55
Er  0.6117  0.0876  0.0000  2 Pt 2.80
Er  0.7455  0.2807  0.0000  4 Pt 2.95-2.96
Er  0.7545  0.7807  0.0000  4 Pt 2.95-2.96
Er  0.8883  0.5876  0.0000  2 Pt 2.80
Tl  0.0793  0.8545  0.5000  2 Pt 2.99-3.34, 4 Er 3.28-3.29
Tl  0.2086  0.5634  0.5000  1 Pt 3.13, 8 Er 3.21-3.40, 1 Tl 3.37
Tl  0.2914  0.0634  0.5000  1 Pt 3.13, 8 Er 3.21-3.40, 1 Tl 3.37
Tl  0.4207  0.3545  0.5000  2 Pt 2.99-3.34, 4 Er 3.28-3.29
Tl  0.5793  0.6455  0.5000  2 Pt 2.99-3.34, 4 Er 3.28-3.29
Tl  0.7086  0.9366  0.5000  1 Pt 3.13, 8 Er 3.21-3.40, 1 Tl 3.37
Tl  0.7914  0.4366  0.5000  1 Pt 3.13, 8 Er 3.21-3.40, 1 Tl 3.37
Tl  0.9207  0.1455  0.5000  2 Pt 2.99-3.34, 4 Er 3.28-3.29
Pt  0.0288  0.3019  0.5000  6 Er 2.80-2.96, 2 Tl 2.99-3.13
Pt  0.4712  0.8019  0.5000  6 Er 2.80-2.96, 2 Tl 2.99-3.13
Pt  0.5288  0.1981  0.5000  6 Er 2.80-2.96, 2 Tl 2.99-3.13
Pt  0.9712  0.6981  0.5000  6 Er 2.80-2.96, 2 Tl 2.99-3.13

Record 8
First-principles (GGA-PBE) data for crystalline MnV2Cr at its relaxed geometry, as listed in Alexandria.

M_tot, μB/atom: 0.00
Energy, eV/cell: -37.79
D(E_F), states/eV/f.u.: 3.18
ρ, g cm⁻³: 7.17
DFT formation energy, eV/atom: -0.19

Lattice parameters (Å, degrees): 4.0903 4.0903 4.0903 60.00 60.00 60.00
With the nearest neighbours (Å) after each atom.
Atoms (fractional coordinates):
Mn  0.0000  0.0000  0.0000  8 V 2.50
V  0.2500  0.2500  0.2500  4 Cr 2.50, 4 Mn 2.50
V  0.7500  0.7500  0.7500  4 Cr 2.50, 4 Mn 2.50
Cr  0.5000  0.5000  0.5000  8 V 2.50

Copy entry 6 word for word.
First-principles (GGA-PBE) data for crystalline GaHPd3 at its relaxed geometry, as listed in Alexandria.

M_tot, μB/atom: 0.00
Energy, eV/cell: -95.47
D(E_F), states/eV/f.u.: 1.42
ρ, g cm⁻³: 9.90

Lattice parameters (Å, degrees): 6.9345 6.9345 5.7764 101.73 101.73 77.28
With the nearest neighbours (Å) after each atom.
Atoms (fractional coordinates):
Ga  0.0039  0.9961  0.7500  8 Pd 2.55-2.60
Ga  0.3497  0.6503  0.2500  8 Pd 2.54-2.61
Ga  0.6503  0.3497  0.7500  8 Pd 2.54-2.61
Ga  0.9961  0.0039  0.2500  8 Pd 2.55-2.60
H  0.1878  0.4777  0.6703  3 Pd 1.91-1.96
H  0.4777  0.1878  0.1703  3 Pd 1.91-1.96
H  0.5223  0.8122  0.8297  3 Pd 1.91-1.96
H  0.8122  0.5223  0.3297  3 Pd 1.91-1.96
Pd  0.0249  0.6819  0.4283  2 H 1.96-2.17
Pd  0.0270  0.6830  0.9286  1 H 2.15
Pd  0.3170  0.9730  0.5714  1 H 2.15
Pd  0.3181  0.9751  0.0717  2 H 1.96-2.17
Pd  0.3429  0.3440  0.9239  2 H 1.91-1.93
Pd  0.3440  0.3429  0.4239  2 H 1.91-1.93
Pd  0.6560  0.6571  0.5761  2 H 1.91-1.93
Pd  0.6571  0.6560  0.0761  2 H 1.91-1.93
Pd  0.6819  0.0249  0.9283  2 H 1.96-2.17
Pd  0.6830  0.0270  0.4286  1 H 2.15
Pd  0.9730  0.3170  0.0714  1 H 2.15
Pd  0.9751  0.3181  0.5717  2 H 1.96-2.17